[1]
MgTl2Hg2 | PBE | optimized geometry

## Properties
V: 288.03 Å³/cell
crystal system: tetragonal
distance to the lowest polymorph of the same formula: 145 meV/atom
space group: P4/mbm (127)
ΔE_f: 0.071 eV per atom

POSCAR file:
```
MgTl2Hg2
1.0
8.122 0.000 0.000
0.000 8.122 0.000
0.000 0.000 4.366
Mg Tl Hg
2 4 4
Cartesian
0.000 0.000 0.000
4.061 4.061 0.000
2.854 6.916 0.000
6.916 5.268 0.000
5.268 1.207 0.000
1.207 2.854 0.000
1.260 5.321 2.183
5.321 6.862 2.183
6.862 2.801 2.183
2.801 1.260 2.183
```

=====

[2]
Mg5TlHg4 | PBE | optimized geometry

## Properties
V: 220.92 Å³/cell
crystal system: tetragonal
space group: P4/mmm (123)
ΔE_f: -0.187 eV per atom

POSCAR file:
```
Mg5TlHg4
1.0
3.589 0.000 0.000
0.000 3.589 0.000
0.000 0.000 17.151
Mg Tl Hg
5 1 4
Cartesian
1.795 1.795 1.934
1.795 1.795 5.256
1.795 1.795 8.575
1.795 1.795 11.895
1.795 1.795 15.216
0.000 0.000 0.000
0.000 0.000 3.556
0.000 0.000 6.906
0.000 0.000 10.244
0.000 0.000 13.594
```

=====

[3]
MgTlHg14 | PBE | optimized geometry

## Properties
V: 427.43 Å³/cell
crystal system: orthorhombic
space group: Amm2 (38)
ΔE_f: -0.010 eV per atom

POSCAR file:
```
MgTlHg14
1.0
-4.504 0.596 -5.799
4.860 -4.503 0.441
-6.669 -6.758 4.484
Mg Tl Hg
1 1 14
Cartesian
-4.601 -4.670 -1.586
-2.514 -4.702 1.469
0.632 -1.019 -0.596
-1.749 -0.513 -3.374
-2.137 -6.769 -1.085
0.621 -2.881 -3.419
-0.165 -7.030 1.454
3.163 -3.218 -0.146
-7.647 -5.525 -1.399
-4.389 -2.223 -3.590
-5.634 -5.791 1.192
-2.376 -2.490 -0.998
-3.353 -8.099 1.771
0.265 -4.433 -0.662
-5.163 -7.768 -1.468
-2.113 -4.676 -3.519
```

=====

[4]
MgTl2Hg2 | PBE | optimized geometry

## Properties
V: 279.69 Å³/cell
crystal system: tetragonal
distance to the lowest polymorph of the same formula: 70 meV/atom
space group: P4/mbm (127)
ΔE_f: -0.004 eV per atom

POSCAR file:
```
MgTl2Hg2
1.0
-1.545 -7.468 0.420
7.417 -1.585 -0.903
0.609 0.141 4.753
Mg Tl Hg
2 4 4
Cartesian
0.000 0.000 0.000
2.936 -4.527 -0.242
4.993 -2.234 1.844
5.453 -6.231 1.904
1.487 -6.679 2.426
1.028 -2.681 2.366
5.799 -4.016 -0.624
3.453 -7.414 -0.222
0.073 -5.037 0.140
2.419 -1.639 -0.261
```

=====

[5]
Mg7TlHg2 | PBE | optimized geometry

## Properties
V: 239.00 Å³/cell
crystal system: trigonal
space group: P3m1 (156)
ΔE_f: -0.089 eV per atom

POSCAR file:
```
Mg7TlHg2
1.0
4.855 0.000 0.000
-2.428 4.205 0.000
0.000 0.000 11.706
Mg Tl Hg
7 1 2
Cartesian
0.000 2.803 4.801
0.000 2.803 1.796
0.000 0.000 3.137
0.000 0.000 8.389
2.428 1.402 6.605
2.428 1.402 0.577
0.000 2.803 10.334
0.000 0.000 11.525
2.428 1.402 3.608
0.000 2.803 7.562
```

=====

[6]
Mg4Tl3Hg | PBE | optimized geometry

## Properties
V: 191.45 Å³/cell
crystal system: tetragonal
space group: P4/mmm (123)
ΔE_f: -0.085 eV per atom

POSCAR file:
```
Mg4Tl3Hg
1.0
-1.427 -2.778 -1.743
1.508 -2.244 2.342
-12.186 0.835 8.647
Mg Tl Hg
4 3 1
Cartesian
-10.834 0.743 7.688
-1.352 0.093 0.959
-4.507 0.309 3.198
-7.679 0.526 5.449
-2.906 -2.309 2.390
-6.053 -2.093 4.623
-9.200 -1.878 6.856
0.040 -2.511 0.299
```

=====

[7]
Mg2Tl2Hg | PBE | optimized geometry

## Properties
V: 265.35 Å³/cell
crystal system: tetragonal
distance to the lowest polymorph of the same formula: 59 meV/atom
space group: P4/mbm (127)
ΔE_f: 0.023 eV per atom

POSCAR file:
```
Mg2Tl2Hg
1.0
8.930 0.000 0.000
0.000 8.930 0.000
0.000 0.000 3.327
Mg Tl Hg
4 4 2
Cartesian
1.211 5.676 1.664
5.676 7.719 1.664
7.719 3.254 1.664
3.254 1.211 1.664
3.015 7.480 0.000
7.480 5.915 0.000
5.915 1.450 0.000
1.450 3.015 0.000
0.000 0.000 0.000
4.465 4.465 0.000
```

=====

[8]
MgTl2Hg6 | PBE | optimized geometry

## Properties
V: 241.08 Å³/cell
crystal system: hexagonal
distance to the lowest polymorph of the same formula: 0 meV/atom
space group: P-62m (189)
ΔE_f: -0.026 eV per atom

POSCAR file:
```
MgTl2Hg6
1.0
3.579 0.000 0.000
0.000 8.819 0.000
0.000 -4.410 7.638
Mg Tl Hg
1 2 6
Cartesian
0.000 0.000 0.000
1.790 0.000 5.092
1.790 4.410 2.546
1.790 -3.214 5.567
1.790 6.428 0.000
1.790 1.195 2.070
0.000 2.772 4.802
0.000 3.275 0.000
0.000 -1.637 2.836
```

=====

[9]
MgTl8Hg2 | PBE | optimized geometry

## Properties
V: 349.83 Å³/cell
crystal system: monoclinic
space group: C2/m (12)
ΔE_f: 0.060 eV per atom

POSCAR file:
```
MgTl8Hg2
1.0
-4.046 3.556 1.052
-5.294 -1.852 -6.090
-5.712 -5.074 3.190
Mg Tl Hg
1 8 2
Cartesian
0.000 0.000 0.000
-7.944 -0.777 1.722
-7.297 -4.047 0.616
-6.296 1.582 0.266
-8.756 -4.952 -2.114
-7.755 0.676 -2.464
-7.109 -2.593 -3.570
-5.589 -1.527 -0.782
-9.463 -1.843 -1.066
-3.303 0.876 0.155
-11.749 -4.246 -2.003
```

=====

[10]
MgTlHg4 | PBE | optimized geometry

## Properties
V: 153.30 Å³/cell
crystal system: tetragonal
distance to the lowest polymorph of the same formula: 0 meV/atom
space group: P4/mmm (123)
ΔE_f: -0.065 eV per atom

POSCAR file:
```
MgTlHg4
1.0
3.701 0.000 0.000
0.000 3.701 0.000
0.000 0.000 11.189
Mg Tl Hg
1 1 4
Cartesian
1.851 1.851 5.595
0.000 0.000 0.000
1.851 1.851 9.033
1.851 1.851 2.156
0.000 0.000 7.192
0.000 0.000 3.997
```